Run w
Here is a relaxed structure of LiHoHg from Alexandria. Energies are from GGA-PBE.

CIF file:
```
data_LiHoHg
_space_group_name_H-M_alt 'P -6 m 2'
_space_group_IT_number 187
_space_group_name_Hall 'P -6 2'
_cell_length_a 4.7943
_cell_length_b 4.7943
_cell_length_c 3.3863
_cell_angle_alpha 90.00
_cell_angle_beta 90.00
_cell_angle_gamma 120.00
loop_
_atom_site_label
_atom_site_type_symbol
_atom_site_fract_x
_atom_site_fract_y
_atom_site_fract_z
Li1 Li 0.0000 0.0000 0.0000
Ho1 Ho 0.6667 0.3333 0.5000
Hg1 Hg 0.3333 0.6667 0.0000
```

Results
Magnetic moment ... 0.00 μB/f.u.
DOS at the Fermi energy ... 0.73 states/eV per atom

Run x
Here is a relaxed structure of LiHoHg from Alexandria. Energies are from GGA-PBE.

CIF file:
```
data_LiHoHg
_space_group_name_H-M_alt 'I 4 m m'
_space_group_IT_number 107
_space_group_name_Hall 'I 4 -2'
_cell_length_a 3.781
_cell_length_b 3.781
_cell_length_c 9.520
_cell_angle_alpha 90.00
_cell_angle_beta 90.00
_cell_angle_gamma 90.00
loop_
_atom_site_label
_atom_site_type_symbol
_atom_site_fract_x
_atom_site_fract_y
_atom_site_fract_z
Li1 Li 0.000 0.000 0.000
Ho1 Ho 0.000 0.000 0.315
Hg1 Hg 0.000 0.000 0.641
```

Results
Magnetic moment ... 0.06 μB/f.u.
DOS at the Fermi energy ... 0.48 states/eV per atom

Stability order, top to bottom: run w, run x

Run w
Here is a relaxed structure of LiHoHg2 from Alexandria. Energies are from GGA-PBE.

CIF file:
```
data_LiHoHg2
_space_group_name_H-M_alt 'P 4/m m m'
_space_group_IT_number 123
_space_group_name_Hall '-P 4 2'
_cell_length_a 3.486
_cell_length_b 3.486
_cell_length_c 7.225
_cell_angle_alpha 90.00
_cell_angle_beta 90.00
_cell_angle_gamma 90.00
loop_
_atom_site_label
_atom_site_type_symbol
_atom_site_fract_x
_atom_site_fract_y
_atom_site_fract_z
Li1 Li 0.000 0.000 0.000
Ho1 Ho 0.000 0.000 0.500
Hg1 Hg 0.500 0.500 0.222
```

Results
Magnetic moment ... 0.22 μB/f.u.
DOS at the Fermi energy ... 0.82 states/eV per atom

Run x
Here is a relaxed structure of LiHoHg2 from Alexandria. Energies are from GGA-PBE.

CIF file:
```
data_LiHoHg2
_space_group_name_H-M_alt 'F m -3 m'
_space_group_IT_number 225
_space_group_name_Hall '-F 4 2 3'
_cell_length_a 7.074
_cell_length_b 7.074
_cell_length_c 7.074
_cell_angle_alpha 90.00
_cell_angle_beta 90.00
_cell_angle_gamma 90.00
loop_
_atom_site_label
_atom_site_type_symbol
_atom_site_fract_x
_atom_site_fract_y
_atom_site_fract_z
Li1 Li 0.000 0.000 0.000
Ho1 Ho 0.000 0.000 0.500
Hg1 Hg 0.250 0.250 0.250
```

Results
Magnetic moment ... 0.00 μB/f.u.
DOS at the Fermi energy ... 0.44 states/eV per atom

Stability order, top to bottom: run x, run w

Run w
Here is a relaxed structure of Ho2LuHg from Alexandria. Energies are from GGA-PBE.

CIF file:
```
data_Ho2LuHg
_space_group_name_H-M_alt 'P 4/m m m'
_space_group_IT_number 123
_space_group_name_Hall '-P 4 2'
_cell_length_a 3.560
_cell_length_b 3.560
_cell_length_c 8.849
_cell_angle_alpha 90.00
_cell_angle_beta 90.00
_cell_angle_gamma 90.00
loop_
_atom_site_label
_atom_site_type_symbol
_atom_site_fract_x
_atom_site_fract_y
_atom_site_fract_z
Ho1 Ho 0.000 0.000 0.227
Lu1 Lu 0.500 0.500 0.500
Hg1 Hg 0.500 0.500 0.000
```

Results
Magnetic moment ... 0.00 μB/f.u.
DOS at the Fermi energy ... 1.26 states/eV per atom

Run x
Here is a relaxed structure of Ho2LuHg from Alexandria. Energies are from GGA-PBE.

CIF file:
```
data_Ho2LuHg
_space_group_name_H-M_alt 'P 4/m m m'
_space_group_IT_number 123
_space_group_name_Hall '-P 4 2'
_cell_length_a 5.286
_cell_length_b 5.286
_cell_length_c 3.920
_cell_angle_alpha 90.00
_cell_angle_beta 90.00
_cell_angle_gamma 90.00
loop_
_atom_site_label
_atom_site_type_symbol
_atom_site_fract_x
_atom_site_fract_y
_atom_site_fract_z
Ho1 Ho 0.000 0.500 0.000
Lu1 Lu 0.000 0.000 0.500
Hg1 Hg 0.500 0.500 0.500
```

Results
Magnetic moment ... 0.00 μB/f.u.
DOS at the Fermi energy ... 1.34 states/eV per atom

Stability order, top to bottom: run w, run x

Run w
Here is a relaxed structure of Ho2LuHg from Alexandria. Energies are from GGA-PBE.

CIF file:
```
data_Ho2LuHg
_space_group_name_H-M_alt 'F m -3 m'
_space_group_IT_number 225
_space_group_name_Hall '-F 4 2 3'
_cell_length_a 7.573
_cell_length_b 7.573
_cell_length_c 7.573
_cell_angle_alpha 90.00
_cell_angle_beta 90.00
_cell_angle_gamma 90.00
loop_
_atom_site_label
_atom_site_type_symbol
_atom_site_fract_x
_atom_site_fract_y
_atom_site_fract_z
Ho1 Ho 0.250 0.250 0.250
Lu1 Lu 0.000 0.000 0.000
Hg1 Hg 0.000 0.000 0.500
```

Results
Magnetic moment ... 0.30 μB/f.u.
DOS at the Fermi energy ... 1.30 states/eV per atom

Run x
Here is a relaxed structure of Ho2LuHg from Alexandria. Energies are from GGA-PBE.

CIF file:
```
data_Ho2LuHg
_space_group_name_H-M_alt 'R -3 m'
_space_group_IT_number 166
_space_group_name_Hall '-R 3 2"'
_cell_length_a 3.5758
_cell_length_b 3.5758
_cell_length_c 31.3711
_cell_angle_alpha 90.00
_cell_angle_beta 90.00
_cell_angle_gamma 120.00
loop_
_atom_site_label
_atom_site_type_symbol
_atom_site_fract_x
_atom_site_fract_y
_atom_site_fract_z
Ho1 Ho 0.0000 0.0000 0.2437
Lu1 Lu 0.0000 0.0000 0.0000
Hg1 Hg 0.0000 0.0000 0.5000
```

Results
Magnetic moment ... 0.00 μB/f.u.
DOS at the Fermi energy ... 1.21 states/eV per atom

Stability order, top to bottom: run x, run w

Run w
Here is a relaxed structure of HoLu2Hg from Alexandria. Energies are from GGA-PBE.

CIF file:
```
data_HoLu2Hg
_space_group_name_H-M_alt 'P 4/m m m'
_space_group_IT_number 123
_space_group_name_Hall '-P 4 2'
_cell_length_a 3.528
_cell_length_b 3.528
_cell_length_c 8.825
_cell_angle_alpha 90.00
_cell_angle_beta 90.00
_cell_angle_gamma 90.00
loop_
_atom_site_label
_atom_site_type_symbol
_atom_site_fract_x
_atom_site_fract_y
_atom_site_fract_z
Ho1 Ho 0.000 0.000 0.000
Lu1 Lu 0.500 0.500 0.277
Hg1 Hg 0.000 0.000 0.500
```

Results
Magnetic moment ... 0.00 μB/f.u.
DOS at the Fermi energy ... 1.00 states/eV per atom

Run x
Here is a relaxed structure of HoLu2Hg from Alexandria. Energies are from GGA-PBE.

CIF file:
```
data_HoLu2Hg
_space_group_name_H-M_alt 'P 4/m m m'
_space_group_IT_number 123
_space_group_name_Hall '-P 4 2'
_cell_length_a 4.746
_cell_length_b 4.746
_cell_length_c 4.715
_cell_angle_alpha 90.00
_cell_angle_beta 90.00
_cell_angle_gamma 90.00
loop_
_atom_site_label
_atom_site_type_symbol
_atom_site_fract_x
_atom_site_fract_y
_atom_site_fract_z
Ho1 Ho 0.000 0.000 0.000
Lu1 Lu 0.000 0.500 0.500
Hg1 Hg 0.500 0.500 0.000
```

Results
Magnetic moment ... 0.01 μB/f.u.
DOS at the Fermi energy ... 1.17 states/eV per atom

Run y
Here is a relaxed structure of HoLu2Hg from Alexandria. Energies are from GGA-PBE.

CIF file:
```
data_HoLu2Hg
_space_group_name_H-M_alt 'R -3 m'
_space_group_IT_number 166
_space_group_name_Hall '-R 3 2"'
_cell_length_a 3.5389
_cell_length_b 3.5389
_cell_length_c 31.1557
_cell_angle_alpha 90.00
_cell_angle_beta 90.00
_cell_angle_gamma 120.00
loop_
_atom_site_label
_atom_site_type_symbol
_atom_site_fract_x
_atom_site_fract_y
_atom_site_fract_z
Ho1 Ho 0.0000 0.0000 0.0000
Lu1 Lu 0.0000 0.0000 0.2428
Hg1 Hg 0.0000 0.0000 0.5000
```

Results
Magnetic moment ... 0.00 μB/f.u.
DOS at the Fermi energy ... 1.01 states/eV per atom

Stability order, top to bottom: run w, run y, run x

Run w
Here is a relaxed structure of HoMgHg2 from Alexandria. Energies are from GGA-PBE.

CIF file:
```
data_HoMgHg2
_space_group_name_H-M_alt 'P 4/m m m'
_space_group_IT_number 123
_space_group_name_Hall '-P 4 2'
_cell_length_a 5.039
_cell_length_b 5.039
_cell_length_c 3.715
_cell_angle_alpha 90.00
_cell_angle_beta 90.00
_cell_angle_gamma 90.00
loop_
_atom_site_label
_atom_site_type_symbol
_atom_site_fract_x
_atom_site_fract_y
_atom_site_fract_z
Ho1 Ho 0.000 0.000 0.000
Mg1 Mg 0.500 0.500 0.000
Hg1 Hg 0.000 0.500 0.500
```

Results
Magnetic moment ... 0.00 μB/f.u.
DOS at the Fermi energy ... 0.31 states/eV per atom

Run x
Here is a relaxed structure of HoMgHg2 from Alexandria. Energies are from GGA-PBE.

CIF file:
```
data_HoMgHg2
_space_group_name_H-M_alt 'C 1 m 1'
_space_group_IT_number 8
_cell_length_a 6.401
_cell_length_b 3.745
_cell_length_c 8.769
_cell_angle_alpha 90.00
_cell_angle_beta 103.57
_cell_angle_gamma 90.00
loop_
_space_group_symop_operation_xyz
'x,y,z'
'x,-y,z'
'x+1/2,y+1/2,z'
'x+1/2,-y+1/2,z'
loop_
_atom_site_label
_atom_site_type_symbol
_atom_site_fract_x
_atom_site_fract_y
_atom_site_fract_z
Ho1 Ho 0.000 0.000 0.000
Mg1 Mg 0.336 0.500 0.499
Hg1 Hg 0.081 0.500 0.738
Hg2 Hg 0.419 0.000 0.261
```

Results
Magnetic moment ... 0.00 μB/f.u.
DOS at the Fermi energy ... 0.44 states/eV per atom

Run y
Here is a relaxed structure of HoMgHg2 from Alexandria. Energies are from GGA-PBE.

CIF file:
```
data_HoMgHg2
_space_group_name_H-M_alt 'F m -3 m'
_space_group_IT_number 225
_space_group_name_Hall '-F 4 2 3'
_cell_length_a 7.155
_cell_length_b 7.155
_cell_length_c 7.155
_cell_angle_alpha 90.00
_cell_angle_beta 90.00
_cell_angle_gamma 90.00
loop_
_atom_site_label
_atom_site_type_symbol
_atom_site_fract_x
_atom_site_fract_y
_atom_site_fract_z
Ho1 Ho 0.000 0.000 0.000
Mg1 Mg 0.000 0.000 0.500
Hg1 Hg 0.250 0.250 0.250
```

Results
Magnetic moment ... 0.00 μB/f.u.
DOS at the Fermi energy ... 0.44 states/eV per atom

Stability order, top to bottom: run y, run w, run x